one:
# SiTcSb | the Alexandria database | meta-GGA SCAN | PBEsol geometry
# DOS(E_F) = 0.64 states/eV per atom
# ρ = 7.759 g cm⁻³
data_SiTcSb
_chemical_formula_sum 'Si1 Tc1 Sb1'
_space_group_name_H-M_alt 'P 1'
_space_group_IT_number 1
_cell_length_a 6.977
_cell_length_b 6.717
_cell_length_c 2.980
_cell_angle_alpha 82.35
_cell_angle_beta 72.60
_cell_angle_gamma 25.05
loop_
_space_group_symop_operation_xyz
'x,y,z'
loop_
_atom_site_label
_atom_site_fract_x
_atom_site_fract_y
_atom_site_fract_z
_atom_site_occupancy
Si1 0.000 0.000 0.000 1
Tc1 0.632 0.632 0.368 1
Sb1 0.301 0.301 0.699 1

***

two:
# SiTcSb | the Alexandria database | meta-GGA SCAN | PBEsol geometry
# DOS(E_F) = 0.37 states/eV per atom
# ρ = 7.637 g cm⁻³
data_SiTcSb
_chemical_formula_sum 'Si1 Tc1 Sb1'
_space_group_name_H-M_alt 'P 1'
_space_group_IT_number 1
_cell_length_a 6.031
_cell_length_b 6.031
_cell_length_c 6.031
_cell_angle_alpha 150.24
_cell_angle_beta 150.24
_cell_angle_gamma 42.58
loop_
_space_group_symop_operation_xyz
'x,y,z'
loop_
_atom_site_label
_atom_site_fract_x
_atom_site_fract_y
_atom_site_fract_z
_atom_site_occupancy
Si1 0.000 0.000 0.000 1
Tc1 0.604 0.604 0.000 1
Sb1 0.266 0.266 0.000 1

***

Which one is the most stable? From the structures above, two.